#w
Computed, not measured: crystalline CdPbS at its relaxed geometry at the PBE level of DFT.

Its magnetic moment is 0.00 μB per atom. The calculation puts the density at 7.42 g/cm3.

The space group is P3m1 (No. 156) and the conventional cell measures 4.0241, 4.0241 and 5.6143 Å, with angles of 90.00, 90.00 and 120.00 degrees. The distinct sites, in fractional coordinates, are Cd at (0.0000, 0.0000, 0.0000), Pb at (0.6667, 0.3333, 0.4079) and S at (0.3333, 0.6667, 0.7399).

---

#x
Computed, not measured: crystalline CdPbS at its relaxed geometry at the PBE level of DFT.

Its magnetic moment is 0.00 μB per atom. The calculation puts the density at 6.39 g/cm3.

The space group is R-3m (No. 166, hexagonal axes) and the conventional cell measures 4.9767, 4.9767 and 25.5613 Å, with angles of 90.00, 90.00 and 120.00 degrees. The distinct sites, in fractional coordinates, are Cd at (0.0000, 0.0000, 0.1761), Pb at (0.0000, 0.0000, 0.3961) and S at (0.0000, 0.0000, 0.2844).

---

Relative to the most stable one, in kJ/mol of atoms, the structures come out at #w 0.0; #x 2.4.

---

#w
Computed, not measured: crystalline Cd2PbS at its relaxed geometry at the PBE level of DFT.

Its magnetic moment is 0.00 μB per atom. The calculation puts the density at 6.95 g/cm3.

The space group is R-3m (No. 166, hexagonal axes) and the conventional cell measures 3.7550, 3.7550 and 27.2563 Å, with angles of 90.00, 90.00 and 120.00 degrees. The distinct sites, in fractional coordinates, are Cd at (0.0000, 0.0000, 0.1070), Pb at (0.0000, 0.0000, 0.0000) and S at (0.0000, 0.0000, 0.5000).

---

#x
Computed, not measured: crystalline Cd2PbS at its relaxed geometry at the PBE level of DFT.

Its magnetic moment is 0.00 μB per atom. The calculation puts the density at 7.85 g/cm3.

The space group is Fm-3m (No. 225) and the conventional cell measures 7.324, 7.324 and 7.324 Å, with angles of 90.00, 90.00 and 90.00 degrees. The distinct sites, in fractional coordinates, are Cd at (0.250, 0.250, 0.250), Pb at (0.000, 0.000, 0.000) and S at (0.000, 0.000, 0.500).

---

#y
Computed, not measured: crystalline Cd2PbS at its relaxed geometry at the PBE level of DFT.

Its magnetic moment is 0.00 μB per atom. The calculation puts the density at 6.19 g/cm3.

The space group is I-42d (No. 122) and the conventional cell measures 6.907, 6.907 and 10.432 Å, with angles of 90.00, 90.00 and 90.00 degrees. The distinct sites, in fractional coordinates, are Cd at (0.204, 0.250, 0.125), Pb at (0.000, 0.000, 0.500) and S at (0.000, 0.000, 0.000).

---

Relative to the most stable one, in kJ/mol of atoms, the structures come out at #w 0.0; #x 30.7; #y 1.7.

---

#w
Computed, not measured: crystalline Cd3Sb3Pb at its relaxed geometry at the PBE level of DFT.

Its magnetic moment is 0.00 μB per atom. The calculation puts the density at 5.96 g/cm3.

The space group is Pm-3n (No. 223) and the conventional cell measures 7.973, 7.973 and 7.973 Å, with angles of 90.00, 90.00 and 90.00 degrees. The distinct sites, in fractional coordinates, are Cd at (0.000, 0.250, 0.500), Sb at (0.000, 0.500, 0.250) and Pb at (0.000, 0.000, 0.000).

---

#x
Computed, not measured: crystalline Cd3Sb3Pb at its relaxed geometry at the PBE level of DFT.

Its magnetic moment is 0.00 μB per atom. The calculation puts the density at 6.94 g/cm3.

The space group is R-3 (No. 148, hexagonal axes) and the conventional cell measures 8.0737, 8.0737 and 23.1389 Å, with angles of 90.00, 90.00 and 120.00 degrees. The distinct sites, in fractional coordinates, are Cd at (0.0023, 0.6532, 0.1263), Sb at (0.0031, 0.6804, 0.9233) and Pb at (0.0000, 0.0000, 0.3353).

---

Relative to the most stable one, in kJ/mol of atoms, the structures come out at #w 31.1; #x 0.0.

---

#w
Computed, not measured: crystalline CdSb2Pb2 at its relaxed geometry at the PBE level of DFT.

Its magnetic moment is 0.00 μB per atom. The calculation puts the density at 8.34 g/cm3.

The space group is P4/mbm (No. 127) and the conventional cell measures 8.672, 8.672 and 4.078 Å, with angles of 90.00, 90.00 and 90.00 degrees. The distinct sites, in fractional coordinates, are Cd at (0.000, 0.000, 0.000), Sb at (0.157, 0.343, 0.000) and Pb at (0.145, 0.645, 0.500).

---

#x
Computed, not measured: crystalline CdSb2Pb2 at its relaxed geometry at the PBE level of DFT.

Its magnetic moment is 0.00 μB per atom. The calculation puts the density at 8.08 g/cm3.

The space group is P2_1/c (No. 14) and the conventional cell measures 9.753, 8.398 and 7.730 Å, with angles of 90.00, 90.76 and 90.00 degrees. The distinct sites, in fractional coordinates, are Cd at (0.107, 0.080, 0.150), Sb at (0.143, 0.093, 0.759), Sb at (0.379, 0.570, 0.737), Pb at (0.168, 0.697, 0.004) and Pb at (0.411, 0.238, 0.496).

---

#y
Computed, not measured: crystalline CdSb2Pb2 at its relaxed geometry at the PBE level of DFT.

Its magnetic moment is 0.00 μB per atom. The calculation puts the density at 7.08 g/cm3.

The space group is I4/mmm (No. 139) and the conventional cell measures 5.704, 5.704 and 11.104 Å, with angles of 90.00, 90.00 and 90.00 degrees. The distinct sites, in fractional coordinates, are Cd at (0.000, 0.000, 0.000), Sb at (0.000, 0.000, 0.371) and Pb at (0.000, 0.500, 0.250).

---

#z
Computed, not measured: crystalline CdSb2Pb2 at its relaxed geometry at the PBE level of DFT.

Its magnetic moment is 0.00 μB per atom. The calculation puts the density at 7.44 g/cm3.

The space group is I4/mmm (No. 139) and the conventional cell measures 4.727, 4.727 and 15.379 Å, with angles of 90.00, 90.00 and 90.00 degrees. The distinct sites, in fractional coordinates, are Cd at (0.000, 0.000, 0.000), Sb at (0.000, 0.500, 0.250) and Pb at (0.000, 0.000, 0.390).

---

Relative to the most stable one, in kJ/mol of atoms, the structures come out at #w 12.2; #x 0.0; #y 14.5; #z 17.2.

---

#w
Computed, not measured: crystalline Cd2Sb2Pb at its relaxed geometry at the PBE level of DFT.

Its magnetic moment is 0.00 μB per atom. The calculation puts the density at 8.04 g/cm3.

The space group is P4/mbm (No. 127) and the conventional cell measures 8.876, 8.876 and 3.541 Å, with angles of 90.00, 90.00 and 90.00 degrees. The distinct sites, in fractional coordinates, are Cd at (0.128, 0.372, 0.000), Sb at (0.172, 0.672, 0.500) and Pb at (0.000, 0.000, 0.500).

---

#x
Computed, not measured: crystalline Cd2Sb2Pb at its relaxed geometry at the PBE level of DFT.

Its magnetic moment is 0.00 μB per atom. The calculation puts the density at 7.76 g/cm3.

The space group is I4/mmm (No. 139) and the conventional cell measures 4.401, 4.401 and 14.925 Å, with angles of 90.00, 90.00 and 90.00 degrees. The distinct sites, in fractional coordinates, are Cd at (0.000, 0.500, 0.250), Sb at (0.000, 0.000, 0.111) and Pb at (0.000, 0.000, 0.500).

---

Relative to the most stable one, in kJ/mol of atoms, the structures come out at #w 2.0; #x 0.0.

---

#w
Computed, not measured: crystalline Cd2Sb2Pb at its relaxed geometry at the PBE level of DFT.

Its magnetic moment is 0.00 μB per atom. The calculation puts the density at 7.67 g/cm3.

The space group is I4/mmm (No. 139) and the conventional cell measures 4.740, 4.740 and 13.019 Å, with angles of 90.00, 90.00 and 90.00 degrees. The distinct sites, in fractional coordinates, are Cd at (0.000, 0.000, 0.104), Sb at (0.000, 0.500, 0.250) and Pb at (0.000, 0.000, 0.500).

---

#x
Computed, not measured: crystalline Cd2Sb2Pb at its relaxed geometry at the PBE level of DFT.

Its magnetic moment is 0.00 μB per atom. The calculation puts the density at 7.36 g/cm3.

The space group is P2_1/m (No. 11) and the conventional cell measures 5.828, 4.774 and 10.954 Å, with angles of 90.00, 90.16 and 90.00 degrees. The distinct sites, in fractional coordinates, are Cd at (0.249, 0.250, 0.479), Cd at (0.250, 0.250, 0.210), Sb at (0.250, 0.750, 0.059), Sb at (0.251, 0.750, 0.636) and Pb at (0.250, 0.250, 0.837).

---

Relative to the most stable one, in kJ/mol of atoms, the structures come out at #w 12.2; #x 0.0.

---

#w
Computed, not measured: crystalline Sc6CdPb at its relaxed geometry at the PBE level of DFT.

Its magnetic moment is 0.41 μB per atom. The calculation puts the density at 5.25 g/cm3.

The space group is P4/mmm (No. 123) and the conventional cell measures 4.534, 4.534 and 9.057 Å, with angles of 90.00, 90.00 and 90.00 degrees. The distinct sites, in fractional coordinates, are Sc at (0.000, 0.000, 0.000), Sc at (0.000, 0.000, 0.500), Sc at (0.000, 0.500, 0.246), Cd at (0.500, 0.500, 0.000) and Pb at (0.500, 0.500, 0.500).

---

#x
Computed, not measured: crystalline Sc6CdPb at its relaxed geometry at the PBE level of DFT.

Its magnetic moment is 0.00 μB per atom. The calculation puts the density at 4.64 g/cm3.

The space group is C2/m (No. 12) and the conventional cell measures 8.290, 6.211 and 8.624 Å, with angles of 90.00, 108.03 and 90.00 degrees. The distinct sites, in fractional coordinates, are Sc at (0.146, 0.000, 0.447), Sc at (0.185, 0.245, 0.794), Cd at (0.000, 0.500, 0.500) and Pb at (0.000, 0.000, 0.000).

---

Relative to the most stable one, in kJ/mol of atoms, the structures come out at #w 0.0; #x 27.4.

---

#w
Computed, not measured: crystalline ScCd4Pb at its relaxed geometry at the PBE level of DFT.

Its magnetic moment is 0.00 μB per atom. The calculation puts the density at 8.05 g/cm3.

The space group is F-43m (No. 216) and the conventional cell measures 8.336, 8.336 and 8.336 Å, with angles of 90.00, 90.00 and 90.00 degrees. The distinct sites, in fractional coordinates, are Sc at (0.000, 0.000, 0.000), Cd at (0.126, 0.126, 0.626) and Pb at (0.250, 0.250, 0.250).

---

#x
Computed, not measured: crystalline ScCd4Pb at its relaxed geometry at the PBE level of DFT.

Its magnetic moment is 0.00 μB per atom. The calculation puts the density at 8.32 g/cm3.

The space group is P-1 (No. 2) and the conventional cell measures 6.164, 6.444 and 8.577 Å, with angles of 101.43, 100.85 and 117.55 degrees. The distinct sites, in fractional coordinates, are Sc at (0.080, 0.254, 0.338), Cd at (0.080, 0.760, 0.330), Cd at (0.237, 0.234, 0.995), Cd at (0.239, 0.735, 0.994), Cd at (0.422, 0.257, 0.687) and Pb at (0.418, 0.744, 0.657).

---

Relative to the most stable one, in kJ/mol of atoms, the structures come out at #w 11.6; #x 0.0.